No. 1
VASP calculation (GGA-PBE) on crystalline LaMnNbSe2 at its relaxed geometry.

The value obtained for the uncorrected formation energy is -0.21 eV/atom. The density of states at the Fermi level is 4.28 states/eV/cell. Its volume is 22.30 Å³/atom. As for the uncorrected energy: -6.433 eV per atom.

The structure belongs to space group P4/mmm (No. 123); the cell edges are 4.972, 4.972 and 4.510 Å and the angles 90.00°, 90.00° and 90.00°. The distinct sites, in fractional coordinates, are La at (0.000, 0.000, 0.000), Mn at (0.500, 0.500, 0.500), Nb at (0.500, 0.500, 0.000) and Se at (0.000, 0.500, 0.500).



No. 2
VASP calculation (GGA-PBE) on crystalline LaZr2MnNb at its relaxed geometry.

The density of states at the Fermi level is 5.51 states/eV/cell. Its volume is 22.88 Å³/atom. As for the formation energy: 1.464 eV/atom. As for the uncorrected energy: -6.788 eV per atom.

The structure belongs to space group P4/mmm (No. 123); the cell edges are 5.161, 5.161 and 4.294 Å and the angles 90.00°, 90.00° and 90.00°. The distinct sites, in fractional coordinates, are La at (0.000, 0.000, 0.000), Zr at (0.000, 0.500, 0.000), Mn at (0.000, 0.000, 0.500) and Nb at (0.500, 0.500, 0.500).



No. 3
VASP calculation (GGA-PBE) on crystalline La3NdMn at its relaxed geometry.

The density of states at the Fermi level is 7.42 states/eV/cell. Its volume is 32.14 Å³/atom. As for the formation energy: 0.218 eV/atom. As for the uncorrected energy: -5.526 eV per atom.

The structure belongs to space group Pm-3m (No. 221); the cell edges are 5.437, 5.437 and 5.437 Å and the angles 90.00°, 90.00° and 90.00°. The distinct sites, in fractional coordinates, are La at (0.000, 0.000, 0.500), Nd at (0.500, 0.500, 0.500) and Mn at (0.000, 0.000, 0.000).